PBE-GGA CaUAs2, relaxed; final energy = -6.62 eV per atom; DFT formation energy = -0.970 eV/atom; energy above the lowest structure with this stoichiometry = 0.000 eV per atom; D(E_F) = 1.606 states/eV/atom; magnetization = 2.00 Bohr magnetons per cell
1.0
4.1460 0.0000 0.0000
2.0730 3.5905 0.0000
2.0730 1.1968 6.8813
U As Ca
1 2 1
Direct
0.0000 0.0000 0.0000
0.7438 0.7438 0.7685
0.2562 0.2562 0.2315
0.5000 0.5000 0.5000